Computed, not measured: a relaxed structure of CaTb2Tl at the PBE level of DFT.

Calculated values
* calculated total energy: -3.497 eV/atom
* ΔH_f (0 K): -0.09 eV/atom
* DOS at the Fermi energy: 1.414 states/eV per atom

a = 3.6894 Å, b = 3.6894 Å, c = 9.5689 Å
α = 90.00°, β = 90.00°, γ = 90.00°
Closest atoms and distances in Å follow each position.
Space group P4/mmm (No. 123)
One atom of each set of equivalent atoms:
1 Ca 0.0000 0.0000 0.0000 (multiplicity 1)  4 Ca 3.69, 8 Tb 3.83
2 Tb 0.5000 0.5000 0.2927 (multiplicity 2)  4 Tl 3.28
3 Tl 0.0000 0.0000 0.5000 (multiplicity 1)  8 Tb 3.28

Computed, not measured: a relaxed structure of RbAg3Br at the PBE level of DFT.

Calculated values
* calculated total energy: -1.805 eV/atom
* raw formation energy: 434 meV/atom
* DOS at the Fermi energy: 1.576 states/eV per atom

a = 5.5764 Å, b = 5.5764 Å, c = 5.5764 Å
α = 90.00°, β = 90.00°, γ = 90.00°
Closest atoms and distances in Å follow each position.
Space group Pm-3m (No. 221)
One atom of each set of equivalent atoms:
1 Rb 0.0000 0.0000 0.0000 (multiplicity 1)  12 Ag 3.94
2 Ag 0.0000 0.5000 0.5000 (multiplicity 3)  2 Br 2.79
3 Br 0.5000 0.5000 0.5000 (multiplicity 1)  6 Ag 2.79